# 1
# Ce3InGe6Pd2 PBE relaxed
# **N(E_F)**: 16.07 states/eV/cell
# **M_tot**: 2.79 μB/cell
# **Formation energy from the elements**: -0.3520 eV/atom
# **VASP energy**: -5.238 eV per atom
data_Ce3InGe6Pd2
_cell_length_a 5.9809
_cell_length_b 5.9809
_cell_length_c 8.4941
_cell_angle_alpha 90.00
_cell_angle_beta 90.00
_cell_angle_gamma 120.00
_symmetry_space_group_name_H-M 'P -3 m 1'
_symmetry_Int_Tables_number 164
_symmetry_space_group_name_Hall '-P 3 2"'
loop_
_atom_site_label
_atom_site_type_symbol
_atom_site_fract_x
_atom_site_fract_y
_atom_site_fract_z
_atom_site_occupancy
Ce1 Ce 0.0000 0.0000 0.0000 1
Ce2 Ce 0.3333 0.6667 0.6127 1
In1 In 0.0000 0.0000 0.5000 1
Ge1 Ge 0.1895 0.3791 0.2627 1
Pd1 Pd 0.3333 0.6667 0.0041 1

# 2
# PrNd5Y2 PBE relaxed
# **N(E_F)**: 22.98 states/eV/cell
# **M_tot**: 0.00 μB/cell
# **Formation energy from the elements**: 0.0098 eV/atom
# **Energy above the lowest structure with this stoichiometry**: 0.000 eV/atom
# **VASP energy**: -5.184 eV per atom
data_PrNd5Y2
_cell_length_a 7.315
_cell_length_b 14.631
_cell_length_c 5.163
_cell_angle_alpha 90.00
_cell_angle_beta 90.00
_cell_angle_gamma 90.00
_symmetry_space_group_name_H-M 'P b a m'
_symmetry_Int_Tables_number 55
loop_
_symmetry_equiv_pos_as_xyz
'x,y,z'
'-x,-y,-z'
'-x,-y,z'
'x,y,-z'
'x+1/2,-y+1/2,-z'
'-x+1/2,y+1/2,z'
'-x+1/2,y+1/2,-z'
'x+1/2,-y+1/2,z'
loop_
_atom_site_label
_atom_site_type_symbol
_atom_site_fract_x
_atom_site_fract_y
_atom_site_fract_z
_atom_site_occupancy
Pr1 Pr 0.000 0.000 0.000 1
Nd1 Nd 0.000 0.250 0.000 1
Nd2 Nd 0.000 0.500 0.000 1
Nd3 Nd 0.250 0.125 0.500 1
Y1 Y 0.250 0.375 0.500 1

# 3
# HgH PBE relaxed
# **N(E_F)**: 1.94 states/eV/cell
# **M_tot**: 0.00 μB/cell
# **Energy above the lowest structure with this stoichiometry**: 0.675 eV/atom
# **VASP energy**: -1.130 eV per atom
data_HgH
_cell_length_a 4.920
_cell_length_b 4.920
_cell_length_c 4.920
_cell_angle_alpha 90.00
_cell_angle_beta 90.00
_cell_angle_gamma 90.00
_symmetry_space_group_name_H-M 'F m -3 m'
_symmetry_Int_Tables_number 225
_symmetry_space_group_name_Hall '-F 4 2 3'
loop_
_atom_site_label
_atom_site_type_symbol
_atom_site_fract_x
_atom_site_fract_y
_atom_site_fract_z
_atom_site_occupancy
Hg1 Hg 0.000 0.000 0.000 1
H1 H 0.000 0.000 0.500 1

# 4
# KSrCu PBE relaxed
# **N(E_F)**: 4.64 states/eV/cell
# **M_tot**: 0.00 μB/cell
# **Formation energy from the elements**: 0.1720 eV/atom
# **Energy above the lowest structure with this stoichiometry**: 0.194 eV/atom
# **VASP energy**: -2.120 eV per atom
data_KSrCu
_cell_length_a 3.987
_cell_length_b 3.987
_cell_length_c 15.067
_cell_angle_alpha 90.00
_cell_angle_beta 90.00
_cell_angle_gamma 90.00
_symmetry_space_group_name_H-M 'I 4 m m'
_symmetry_Int_Tables_number 107
_symmetry_space_group_name_Hall 'I 4 -2'
loop_
_atom_site_label
_atom_site_type_symbol
_atom_site_fract_x
_atom_site_fract_y
_atom_site_fract_z
_atom_site_occupancy
K1 K 0.000 0.000 0.000 1
Sr1 Sr 0.000 0.000 0.745 1
Cu1 Cu 0.000 0.000 0.345 1

# 5
# EuNbN PBE relaxed
# **N(E_F)**: 4.97 states/eV/cell
# **Formation energy without anion corrections**: -321 meV per atom
# **M_tot**: 14.88 μB/cell
# **VASP energy**: -9.878 eV per atom
data_EuNbN
_cell_length_a 3.056
_cell_length_b 3.056
_cell_length_c 12.180
_cell_angle_alpha 90.00
_cell_angle_beta 90.00
_cell_angle_gamma 90.00
_symmetry_space_group_name_H-M 'I 4 m m'
_symmetry_Int_Tables_number 107
_symmetry_space_group_name_Hall 'I 4 -2'
loop_
_atom_site_label
_atom_site_type_symbol
_atom_site_fract_x
_atom_site_fract_y
_atom_site_fract_z
_atom_site_occupancy
Eu1 Eu 0.000 0.000 0.000 1
Nb1 Nb 0.000 0.000 0.289 1
N1 N 0.000 0.000 0.779 1

# 6
# Co2W PBE relaxed
# **N(E_F)**: 15.54 states/eV/cell
# **M_tot**: 5.71 μB/cell
# **Formation energy from the elements**: 0.1514 eV/atom
# **VASP energy**: -8.904 eV per atom
data_Co2W
_cell_length_a 9.489
_cell_length_b 2.663
_cell_length_c 6.133
_cell_angle_alpha 90.00
_cell_angle_beta 103.93
_cell_angle_gamma 90.00
_symmetry_space_group_name_H-M 'C 1 m 1'
_symmetry_Int_Tables_number 8
loop_
_symmetry_equiv_pos_as_xyz
'x,y,z'
'x,-y,z'
'x+1/2,y+1/2,z'
'x+1/2,-y+1/2,z'
loop_
_atom_site_label
_atom_site_type_symbol
_atom_site_fract_x
_atom_site_fract_y
_atom_site_fract_z
_atom_site_occupancy
Co1 Co 0.000 0.000 0.000 1
Co2 Co 0.060 0.000 0.609 1
Co3 Co 0.173 0.500 0.346 1
Co4 Co 0.345 0.000 0.672 1
W1 W 0.215 0.500 0.931 1
W2 W 0.399 0.000 0.289 1

# 7
# Zn2CdIr PBE relaxed
# **N(E_F)**: 1.28 states/eV/cell
# **M_tot**: 0.00 μB/cell
# **Formation energy from the elements**: -0.0537 eV/atom
# **VASP energy**: -3.135 eV per atom
data_Zn2CdIr
_cell_length_a 3.055
_cell_length_b 3.055
_cell_length_c 6.985
_cell_angle_alpha 90.00
_cell_angle_beta 90.00
_cell_angle_gamma 90.00
_symmetry_space_group_name_H-M 'P 4/m m m'
_symmetry_Int_Tables_number 123
_symmetry_space_group_name_Hall '-P 4 2'
loop_
_atom_site_label
_atom_site_type_symbol
_atom_site_fract_x
_atom_site_fract_y
_atom_site_fract_z
_atom_site_occupancy
Zn1 Zn 0.000 0.000 0.211 1
Cd1 Cd 0.500 0.500 0.500 1
Ir1 Ir 0.500 0.500 0.000 1

# 8
# Cr2CuIr2 PBE relaxed
# **N(E_F)**: 9.41 states/eV/cell
# **M_tot**: 0.00 μB/cell
# **Formation energy from the elements**: 0.0821 eV/atom
# **Energy above the lowest structure with this stoichiometry**: 0.000 eV/atom
# **VASP energy**: -8.131 eV per atom
data_Cr2CuIr2
_cell_length_a 7.252
_cell_length_b 7.252
_cell_length_c 2.667
_cell_angle_alpha 90.00
_cell_angle_beta 90.00
_cell_angle_gamma 90.00
_symmetry_space_group_name_H-M 'P 4/m b m'
_symmetry_Int_Tables_number 127
_symmetry_space_group_name_Hall '-P 4 2ab'
loop_
_atom_site_label
_atom_site_type_symbol
_atom_site_fract_x
_atom_site_fract_y
_atom_site_fract_z
_atom_site_occupancy
Cr1 Cr 0.164 0.336 0.000 1
Cu1 Cu 0.000 0.000 0.500 1
Ir1 Ir 0.131 0.631 0.500 1

# 9
# TaAgSe4 PBE relaxed
# **N(E_F)**: 27.41 states/eV/cell
# **Formation energy without anion corrections**: 982 meV per atom
# **M_tot**: 6.05 μB/cell
# **Energy above the lowest structure with this stoichiometry**: 1.354 eV/atom
# **VASP energy**: -3.792 eV per atom
data_TaAgSe4
_cell_length_a 7.903
_cell_length_b 7.903
_cell_length_c 7.903
_cell_angle_alpha 90.00
_cell_angle_beta 90.00
_cell_angle_gamma 90.00
_symmetry_space_group_name_H-M 'F -4 3 m'
_symmetry_Int_Tables_number 216
_symmetry_space_group_name_Hall 'F -4 2 3'
loop_
_atom_site_label
_atom_site_type_symbol
_atom_site_fract_x
_atom_site_fract_y
_atom_site_fract_z
_atom_site_occupancy
Ta1 Ta 0.000 0.000 0.000 1
Ag1 Ag 0.250 0.250 0.750 1
Se1 Se 0.125 0.125 0.375 1

# 10
# Er4SiAs2S PBE relaxed
# **N(E_F)**: 1.38 states/eV/cell
# **Formation energy without anion corrections**: -1440 meV per atom
# **M_tot**: 0.00 μB/cell
# **VASP energy**: -6.078 eV per atom
data_Er4SiAs2S
_cell_length_a 6.997
_cell_length_b 4.022
_cell_length_c 7.006
_cell_angle_alpha 90.00
_cell_angle_beta 109.34
_cell_angle_gamma 90.00
_symmetry_space_group_name_H-M 'P 1 2/m 1'
_symmetry_Int_Tables_number 10
loop_
_symmetry_equiv_pos_as_xyz
'x,y,z'
'-x,-y,-z'
'-x,y,-z'
'x,-y,z'
loop_
_atom_site_label
_atom_site_type_symbol
_atom_site_fract_x
_atom_site_fract_y
_atom_site_fract_z
_atom_site_occupancy
Er1 Er 0.247 0.000 0.249 1
Er2 Er 0.249 0.500 0.753 1
Si1 Si 0.000 0.500 0.000 1
As1 As 0.500 0.000 0.000 1
As2 As 0.500 0.500 0.500 1
S1 S 0.000 0.000 0.500 1

# 11
# Re5Ir PBE relaxed
# **N(E_F)**: 7.25 states/eV/cell
# **M_tot**: 0.00 μB/cell
# **Formation energy from the elements**: -0.1176 eV/atom
# **Energy above the lowest structure with this stoichiometry**: 0.000 eV/atom
# **VASP energy**: -11.968 eV per atom
data_Re5Ir
_cell_length_a 10.100
_cell_length_b 2.767
_cell_length_c 6.561
_cell_angle_alpha 90.00
_cell_angle_beta 103.97
_cell_angle_gamma 90.00
_symmetry_space_group_name_H-M 'C 1 m 1'
_symmetry_Int_Tables_number 8
loop_
_symmetry_equiv_pos_as_xyz
'x,y,z'
'x,-y,z'
'x+1/2,y+1/2,z'
'x+1/2,-y+1/2,z'
loop_
_atom_site_label
_atom_site_type_symbol
_atom_site_fract_x
_atom_site_fract_y
_atom_site_fract_z
_atom_site_occupancy
Re1 Re 0.000 0.000 0.000 1
Re2 Re 0.057 0.000 0.614 1
Re3 Re 0.221 0.500 0.949 1
Re4 Re 0.331 0.000 0.668 1
Re5 Re 0.388 0.000 0.282 1
Ir1 Ir 0.166 0.500 0.337 1

# 12
# LiMgTeN2 PBE relaxed
# **N(E_F)**: 3.36 states/eV/cell
# **Formation energy without anion corrections**: 1266 meV per atom
# **M_tot**: 4.40 μB/cell
# **Energy above the lowest structure with this stoichiometry**: 0.298 eV/atom
# **VASP energy**: -3.394 eV per atom
data_LiMgTeN2
_cell_length_a 4.130
_cell_length_b 4.130
_cell_length_c 5.293
_cell_angle_alpha 90.00
_cell_angle_beta 90.00
_cell_angle_gamma 90.00
_symmetry_space_group_name_H-M 'P 4/m m m'
_symmetry_Int_Tables_number 123
_symmetry_space_group_name_Hall '-P 4 2'
loop_
_atom_site_label
_atom_site_type_symbol
_atom_site_fract_x
_atom_site_fract_y
_atom_site_fract_z
_atom_site_occupancy
Li1 Li 0.000 0.000 0.000 1
Mg1 Mg 0.500 0.500 0.500 1
Te1 Te 0.000 0.000 0.500 1
N1 N 0.000 0.500 0.000 1

# 13
# Fe2Pd4N PBE relaxed
# **N(E_F)**: 13.91 states/eV/cell
# **Formation energy without anion corrections**: 499 meV per atom
# **M_tot**: 14.44 μB/cell
# **VASP energy**: -6.076 eV per atom
data_Fe2Pd4N
_cell_length_a 3.987
_cell_length_b 3.987
_cell_length_c 13.414
_cell_angle_alpha 90.00
_cell_angle_beta 90.00
_cell_angle_gamma 90.00
_symmetry_space_group_name_H-M 'I 4/m m m'
_symmetry_Int_Tables_number 139
_symmetry_space_group_name_Hall '-I 4 2'
loop_
_atom_site_label
_atom_site_type_symbol
_atom_site_fract_x
_atom_site_fract_y
_atom_site_fract_z
_atom_site_occupancy
Fe1 Fe 0.000 0.000 0.156 1
Pd1 Pd 0.000 0.000 0.335 1
Pd2 Pd 0.000 0.500 0.000 1
N1 N 0.000 0.000 0.500 1

# 14
# In2HgMo PBE relaxed
# **N(E_F)**: 6.30 states/eV/cell
# **M_tot**: 0.00 μB/cell
# **Formation energy from the elements**: 0.4217 eV/atom
# **VASP energy**: -3.731 eV per atom
data_In2HgMo
_cell_length_a 4.146
_cell_length_b 4.313
_cell_length_c 9.682
_cell_angle_alpha 90.00
_cell_angle_beta 90.00
_cell_angle_gamma 90.00
_symmetry_space_group_name_H-M 'C m m 2'
_symmetry_Int_Tables_number 35
loop_
_symmetry_equiv_pos_as_xyz
'x,y,z'
'-x,-y,z'
'-x,y,z'
'x,-y,z'
'x+1/2,y+1/2,z'
'-x+1/2,-y+1/2,z'
'-x+1/2,y+1/2,z'
'x+1/2,-y+1/2,z'
loop_
_atom_site_label
_atom_site_type_symbol
_atom_site_fract_x
_atom_site_fract_y
_atom_site_fract_z
_atom_site_occupancy
In1 In 0.000 0.000 0.000 1
In2 In 0.000 0.500 0.288 1
Hg1 Hg 0.000 0.000 0.561 1
Mo1 Mo 0.000 0.500 0.780 1

# 15
# TaMnGe PBE relaxed
# **N(E_F)**: 6.06 states/eV/cell
# **M_tot**: 7.56 μB/cell
# **Formation energy from the elements**: 0.0187 eV/atom
# **VASP energy**: -8.528 eV per atom
data_TaMnGe
_cell_length_a 7.2071
_cell_length_b 7.2071
_cell_length_c 3.1856
_cell_angle_alpha 90.00
_cell_angle_beta 90.00
_cell_angle_gamma 120.00
_symmetry_space_group_name_H-M 'P -6 2 m'
_symmetry_Int_Tables_number 189
_symmetry_space_group_name_Hall 'P -6 -2'
loop_
_atom_site_label
_atom_site_type_symbol
_atom_site_fract_x
_atom_site_fract_y
_atom_site_fract_z
_atom_site_occupancy
Ta1 Ta 0.0000 0.7218 0.0000 1
Mn1 Mn 0.0000 0.3744 0.5000 1
Ge1 Ge 0.0000 0.0000 0.5000 1
Ge2 Ge 0.3333 0.6667 0.0000 1

# 16
# Sr3La3TmS8 PBE relaxed
# **N(E_F)**: 17.68 states/eV/cell
# **Formation energy without anion corrections**: -2125 meV per atom
# **M_tot**: 0.00 μB/cell
# **VASP energy**: -5.946 eV per atom
data_Sr3La3TmS8
_cell_length_a 8.3108
_cell_length_b 8.3108
_cell_length_c 20.7826
_cell_angle_alpha 90.00
_cell_angle_beta 90.00
_cell_angle_gamma 120.00
_symmetry_space_group_name_H-M 'R -3 m'
_symmetry_Int_Tables_number 166
_symmetry_space_group_name_Hall '-R 3 2"'
loop_
_atom_site_label
_atom_site_type_symbol
_atom_site_fract_x
_atom_site_fract_y
_atom_site_fract_z
_atom_site_occupancy
Sr1 Sr 0.0000 0.5000 0.0000 1
La1 La 0.0000 0.5000 0.5000 1
Tm1 Tm 0.0000 0.0000 0.5000 1
S1 S 0.0000 0.0000 0.2483 1
S2 S 0.0193 0.5096 0.2419 1

# 17
# ScTi2Ir3 PBE relaxed
# **N(E_F)**: 5.60 states/eV/cell
# **M_tot**: 0.00 μB/cell
# **Formation energy from the elements**: -0.8930 eV/atom
# **VASP energy**: -9.010 eV per atom
data_ScTi2Ir3
_cell_length_a 3.008
_cell_length_b 3.008
_cell_length_c 10.411
_cell_angle_alpha 90.00
_cell_angle_beta 90.00
_cell_angle_gamma 90.00
_symmetry_space_group_name_H-M 'P 4/m m m'
_symmetry_Int_Tables_number 123
_symmetry_space_group_name_Hall '-P 4 2'
loop_
_atom_site_label
_atom_site_type_symbol
_atom_site_fract_x
_atom_site_fract_y
_atom_site_fract_z
_atom_site_occupancy
Sc1 Sc 0.000 0.000 0.000 1
Ti1 Ti 0.000 0.000 0.337 1
Ir1 Ir 0.500 0.500 0.185 1
Ir2 Ir 0.500 0.500 0.500 1

# 18
# BaSr2Zn PBE relaxed
# **N(E_F)**: 24.72 states/eV/cell
# **M_tot**: 0.00 μB/cell
# **Formation energy from the elements**: 0.0536 eV/atom
# **VASP energy**: -1.587 eV per atom
data_BaSr2Zn
_cell_length_a 10.247
_cell_length_b 10.247
_cell_length_c 7.312
_cell_angle_alpha 90.00
_cell_angle_beta 90.00
_cell_angle_gamma 90.00
_symmetry_space_group_name_H-M 'I -4 2 d'
_symmetry_Int_Tables_number 122
_symmetry_space_group_name_Hall 'I -4 2bw'
loop_
_atom_site_label
_atom_site_type_symbol
_atom_site_fract_x
_atom_site_fract_y
_atom_site_fract_z
_atom_site_occupancy
Ba1 Ba 0.000 0.000 0.000 1
Sr1 Sr 0.162 0.250 0.625 1
Zn1 Zn 0.000 0.000 0.500 1

# 19
# Pr6Y2Er3In PBE relaxed
# **N(E_F)**: 28.67 states/eV/cell
# **M_tot**: 0.00 μB/cell
# **Formation energy from the elements**: -0.0330 eV/atom
# **VASP energy**: -4.869 eV per atom
data_Pr6Y2Er3In
_cell_length_a 6.218
_cell_length_b 10.802
_cell_length_c 11.876
_cell_angle_alpha 90.00
_cell_angle_beta 100.20
_cell_angle_gamma 90.00
_symmetry_space_group_name_H-M 'C 1 2/m 1'
_symmetry_Int_Tables_number 12
loop_
_symmetry_equiv_pos_as_xyz
'x,y,z'
'-x,-y,-z'
'-x,y,-z'
'x,-y,z'
'x+1/2,y+1/2,z'
'-x+1/2,-y+1/2,-z'
'-x+1/2,y+1/2,-z'
'x+1/2,-y+1/2,z'
loop_
_atom_site_label
_atom_site_type_symbol
_atom_site_fract_x
_atom_site_fract_y
_atom_site_fract_z
_atom_site_occupancy
Pr1 Pr 0.243 0.000 0.249 1
Pr2 Pr 0.246 0.163 0.750 1
Y1 Y 0.000 0.334 0.500 1
Er1 Er 0.000 0.168 0.000 1
Er2 Er 0.000 0.500 0.000 1
In1 In 0.000 0.000 0.500 1

# 20
# NdNpSb2 PBE relaxed
# **N(E_F)**: 36.04 states/eV/cell
# **Formation energy without anion corrections**: -682 meV per atom
# **M_tot**: 11.75 μB/cell
# **Energy above the lowest structure with this stoichiometry**: 0.000 eV/atom
# **VASP energy**: -7.171 eV per atom
data_NdNpSb2
_cell_length_a 4.4474
_cell_length_b 4.4474
_cell_length_c 21.9931
_cell_angle_alpha 90.00
_cell_angle_beta 90.00
_cell_angle_gamma 120.00
_symmetry_space_group_name_H-M 'R -3 m'
_symmetry_Int_Tables_number 166
_symmetry_space_group_name_Hall '-R 3 2"'
loop_
_atom_site_label
_atom_site_type_symbol
_atom_site_fract_x
_atom_site_fract_y
_atom_site_fract_z
_atom_site_occupancy
Nd1 Nd 0.0000 0.0000 0.0000 1
Np1 Np 0.0000 0.0000 0.5000 1
Sb1 Sb 0.0000 0.0000 0.2470 1